Record 1
{"formula": "Pr2SmCu2Si2", "functional": "PBE-GGA", "state": "relaxed", "cell": [[-1.3372, -3.1065, -2.3630], [2.2440, -1.2498, -3.2287], [5.7231, -8.8208, 4.7558]], "species": ["Pr", "Pr", "Sm", "Cu", "Cu", "Si", "Si"], "frac_coords": [[0.1187, 0.1187, 0.6438], [0.8813, 0.8813, 0.3562], [0.0000, 0.0000, 0.0000], [0.6069, 0.6069, 0.1792], [0.3931, 0.3931, 0.8208], [0.7260, 0.7260, 0.8220], [0.2740, 0.2740, 0.1780]], "e_form_raw_mev_per_atom": -475}

---

Record 2
{"formula": "CsInCuHg2", "functional": "PBE-GGA", "state": "relaxed", "cell": [[5.4514, 0.0000, 0.0000], [0.0000, 5.4514, 0.0000], [0.0000, 0.0000, 5.2112]], "species": ["Cs", "Hg", "Hg", "Cu", "In"], "frac_coords": [[0.5000, 0.5000, 0.5000], [0.0000, 0.5000, 0.0000], [0.5000, 0.0000, 0.0000], [0.0000, 0.0000, 0.0000], [0.0000, 0.0000, 0.5000]], "formation_enthalpy_0k_ev_per_atom": -0.0097}

---

Record 3
{"formula": "KBaSn3", "functional": "PBE-GGA", "state": "relaxed", "cell": [[6.3355, 0.0000, 0.0000], [0.0000, 6.3355, 0.0000], [0.0000, 0.0000, 6.3355]], "species": ["K", "Ba", "Sn", "Sn", "Sn"], "frac_coords": [[0.5000, 0.5000, 0.5000], [0.0000, 0.0000, 0.0000], [0.0000, 0.5000, 0.0000], [0.0000, 0.0000, 0.5000], [0.5000, 0.0000, 0.0000]], "formation_enthalpy_0k_ev_per_atom": 0.5212, "e_above_lowest_polymorph_kj_per_mol_atoms": 88.4}

---

Record 4
{"formula": "Rb3H6Au2", "functional": "PBE-GGA", "state": "relaxed", "cell": [[-1.1980, -4.3396, 1.0139], [1.1179, 0.7551, 4.4131], [-10.5571, 1.9332, 4.2953]], "species": ["Rb", "Rb", "Rb", "H", "H", "H", "H", "H", "H", "Au", "Au"], "frac_coords": [[0.0000, 0.0000, 0.0000], [0.7988, 0.7988, 0.3589], [0.2012, 0.2012, 0.6411], [0.9404, 0.5681, 0.8405], [0.5681, 0.9405, 0.8405], [0.0596, 0.4319, 0.1595], [0.4319, 0.0595, 0.1595], [0.6408, 0.6408, 0.6127], [0.3592, 0.3592, 0.3873], [0.3121, 0.3121, 0.2482], [0.6879, 0.6879, 0.7518]], "dft_energy_ev_per_atom": -2.757}

---

Record 5
{"formula": "ZrBe2Fe2", "functional": "PBE-GGA", "state": "relaxed", "cell": [[-5.0108, 2.7873, -2.8740], [-3.7220, -1.5472, 4.9889], [0.6569, 2.4788, 1.2588]], "species": ["Be", "Be", "Be", "Be", "Fe", "Fe", "Fe", "Fe", "Zr", "Zr"], "frac_coords": [[0.3857, 0.8857, 0.0000], [0.8857, 0.6143, 0.0000], [0.6143, 0.1143, 0.0000], [0.1143, 0.3857, 0.0000], [0.1706, 0.6706, 0.5000], [0.6706, 0.8294, 0.5000], [0.8294, 0.3294, 0.5000], [0.3294, 0.1706, 0.5000], [0.0000, 0.0000, 0.0000], [0.5000, 0.5000, 0.0000]], "formation_enthalpy_0k_ev_per_atom": -0.0514, "e_above_lowest_polymorph_kj_per_mol_atoms": 0.0}

---

Record 6
{"formula": "AlInAg2", "functional": "PBE-GGA", "state": "relaxed", "cell": [[-2.3021, -2.0065, 0.1393], [2.5062, -0.8991, -1.5019], [3.4982, -3.4644, 7.9117]], "species": ["Al", "Ag", "Ag", "In"], "frac_coords": [[0.5000, 0.5000, 0.2500], [0.0000, 0.0000, 0.0215], [0.0000, 0.0000, 0.4785], [0.5000, 0.5000, 0.7500]], "formation_enthalpy_0k_ev_per_atom": 0.0706}

---

Record 7
{"formula": "CsNiTe", "functional": "PBE-GGA", "state": "relaxed", "cell": [[-4.2419, -0.7570, 1.2437], [0.4631, -4.3336, -1.0582], [3.4092, -2.1547, 10.3166]], "species": ["Cs", "Cs", "Ni", "Ni", "Te", "Te"], "frac_coords": [[0.0000, 0.5000, 0.7879], [0.5000, 0.0000, 0.2121], [0.0000, 0.0000, 0.5000], [0.5000, 0.5000, 0.5000], [0.0000, 0.5000, 0.3867], [0.5000, 0.0000, 0.6133]], "e_above_lowest_polymorph_kj_per_mol_atoms": 3.8, "e_form_raw_mev_per_atom": -378}

---

Record 8
{"formula": "PaMnRu", "functional": "PBE-GGA", "state": "relaxed", "cell": [[4.2565, 0.0000, 2.3899], [1.4744, 4.4681, 2.3594], [-0.1549, 0.0128, 5.2612]], "species": ["Pa", "Pa", "Mn", "Mn", "Ru", "Ru"], "frac_coords": [[0.8740, 0.3760, 0.3760], [0.1260, 0.6240, 0.6240], [0.0000, 0.0000, 0.0000], [0.5000, 0.0000, 0.0000], [0.5000, 0.5000, 0.0000], [0.5000, 0.0000, 0.5000]], "formation_enthalpy_0k_ev_per_atom": -0.2902, "e_above_lowest_polymorph_kj_per_mol_atoms": 0.0}

---

Record 9
{"formula": "La2Tb4Nd3", "functional": "PBE-GGA", "state": "relaxed", "cell": [[3.6403, 0.0000, 0.0000], [-1.8202, 3.1526, 0.0000], [0.0000, 0.0000, 27.1279]], "species": ["La", "La", "Tb", "Tb", "Tb", "Tb", "Nd", "Nd", "Nd"], "frac_coords": [[0.6667, 0.3333, 0.0948], [0.6667, 0.3333, 0.8670], [0.0000, 0.0000, 0.5405], [0.6667, 0.3333, 0.4370], [0.6667, 0.3333, 0.2210], [0.0000, 0.0000, 0.7575], [0.0000, 0.0000, 0.9838], [0.0000, 0.0000, 0.3259], [0.6667, 0.3333, 0.6497]], "formation_enthalpy_0k_ev_per_atom": 0.0602, "e_above_lowest_polymorph_kj_per_mol_atoms": 3.7}

---

Record 10
{"formula": "La2YUN4", "functional": "PBE-GGA", "state": "relaxed", "cell": [[-1.6669, -3.1540, -0.0209], [1.1048, -0.6232, 5.9361], [-5.5362, 2.9306, -0.7307]], "species": ["La", "La", "Y", "U", "N", "N", "N", "N"], "frac_coords": [[0.5000, 0.0000, 0.5000], [0.0000, 0.5000, 0.5000], [0.0000, 0.0000, 0.0000], [0.5000, 0.5000, 0.0000], [0.5000, 0.2640, 0.2075], [0.5000, 0.7360, 0.7925], [0.0000, 0.2819, 0.7970], [0.0000, 0.7181, 0.2030]], "e_form_raw_mev_per_atom": -1476}

---

Record 11
{"formula": "Co2Ni3Pt5", "functional": "PBE-GGA", "state": "relaxed", "cell": [[-2.1427, 3.0706, -2.6070], [-2.4636, 2.2717, 1.8748], [8.3173, 2.6713, 3.7696]], "species": ["Co", "Co", "Ni", "Ni", "Ni", "Pt", "Pt", "Pt", "Pt", "Pt"], "frac_coords": [[0.0991, 0.1005, 0.3001], [0.9009, 0.8995, 0.6999], [0.5000, 0.5000, 0.5000], [0.7041, 0.6982, 0.1007], [0.2959, 0.3018, 0.8993], [0.0000, 0.0000, 0.0000], [0.1997, 0.2000, 0.5998], [0.8003, 0.8000, 0.4002], [0.4004, 0.4001, 0.2006], [0.5996, 0.5999, 0.7994]], "formation_enthalpy_0k_ev_per_atom": -0.1070}

---

Record 12
{"formula": "TcSbPt2I", "functional": "PBE-GGA", "state": "relaxed", "cell": [[-0.1040, 4.6363, -1.7446], [-0.9455, -2.1121, -5.5565], [-4.8922, 0.1780, 0.7648]], "species": ["I", "Sb", "Tc", "Pt", "Pt"], "frac_coords": [[0.0000, 0.5000, 0.0000], [0.0000, 0.0000, 0.0000], [0.5000, 0.5000, 0.5000], [0.0000, 0.0000, 0.5000], [0.5000, 0.0000, 0.0000]], "e_form_raw_mev_per_atom": 1308}

---

| no. | M_tot (μB per atom) |
| --- | --- |
| 1 | 0.141 |
| 2 | 0.000 |
| 3 | 0.000 |
| 4 | 0.000 |
| 5 | 0.341 |
| 6 | 0.000 |
| 7 | 0.000 |
| 8 | 0.695 |
| 9 | 0.000 |
| 10 | 0.016 |
| 11 | 0.840 |
| 12 | 0.932 |